## TcIr2Os (GGA-PBE)

Data for a geometry-optimized TcIr2Os structure.

```
TcIr2Os
1.0
-4.474 4.321 6.579
-3.782 2.061 7.964
-2.021 4.152 7.788
Tc Ir Os
1 2 1
direct
0.750 0.750 0.750
0.001 0.001 0.001
0.249 0.249 0.249
0.500 0.500 0.500
```

Values from the calculation:
- Energy above the most stable polymorph in this dataset: 151 meV per atom
- Total magnetization: 0.000 Bohr magnetons per cell
- SG: R3m, No. 160